Here is crystalline NaNpTe3 at its relaxed geometry from the Alexandria database. Energies are from PBE-GGA.

Cell lengths 8.2089, 8.2089, 10.5358 Å; angles 90.00, 90.00, 120.00 degrees
Space group R3m (No. 160, hexagonal axes)
Symmetry-distinct sites (fractional):
Na 0.0000 0.0000 0.0000
Np 0.0000 0.0000 0.3804
Te 0.1683 0.3365 0.2179

Values from the calculation:
energy relative to the elements, uncorrected = -0.487 eV per atom



Here is crystalline CrPtSe2 at its relaxed geometry from the Alexandria database. Energies are from PBE-GGA.

Cell lengths 3.5037, 3.5037, 6.4951 Å; angles 90.00, 90.00, 90.00 degrees
Space group P4mm (No. 99)
Symmetry-distinct sites (fractional):
Cr 0.0000 0.0000 0.0000
Pt 0.5000 0.5000 0.2380
Se 0.0000 0.0000 0.3750
Se 0.5000 0.5000 0.8537

Values from the calculation:
energy relative to the elements, uncorrected = -0.229 eV per atom



Here is crystalline Tm2Hg2Pd7 at its relaxed geometry from the Alexandria database. Energies are from PBE-GGA.

Cell lengths 9.3543, 9.4949, 5.2898 Å; angles 90.00, 118.51, 90.00 degrees
Space group C2/m (No. 12)
Symmetry-distinct sites (fractional):
Tm 0.0000 0.1916 0.0000
Hg 0.1418 0.5000 0.3825
Pd 0.0000 0.0000 0.5000
Pd 0.1715 0.2438 0.6773
Pd 0.2364 0.5000 0.9625

Values from the calculation:
ΔE_f = -53 kJ/mol of atoms



Here is crystalline LiCeAlPd at its relaxed geometry from the Alexandria database. Energies are from PBE-GGA.

Cell lengths 6.6997, 6.6997, 6.6997 Å; angles 90.00, 90.00, 90.00 degrees
Space group F-43m (No. 216)
Symmetry-distinct sites (fractional):
Li 0.0000 0.0000 0.0000
Ce 0.2500 0.2500 0.7500
Al 0.2500 0.2500 0.2500
Pd 0.0000 0.0000 0.5000

Values from the calculation:
ΔE_f = -46 kJ/mol of atoms



Here is crystalline MoRhCl2 at its relaxed geometry from the Alexandria database. Energies are from PBE-GGA.

Cell lengths 6.4431, 6.4431, 6.4431 Å; angles 90.00, 90.00, 90.00 degrees
Space group F-43m (No. 216)
Symmetry-distinct sites (fractional):
Mo 0.0000 0.0000 0.0000
Rh 0.2500 0.2500 0.2500
Cl 0.0000 0.0000 0.5000
Cl 0.2500 0.2500 0.7500

Values from the calculation:
energy relative to the elements, uncorrected = 0.632 eV per atom



Here is crystalline MnIr4Ru at its relaxed geometry from the Alexandria database. Energies are from PBE-GGA.

Cell lengths 7.2649, 7.2649, 7.2649 Å; angles 90.00, 90.00, 90.00 degrees
Space group F-43m (No. 216)
Symmetry-distinct sites (fractional):
Mn 0.0000 0.0000 0.0000
Ir 0.1250 0.1250 0.3750
Ru 0.2500 0.2500 0.7500

Values from the calculation:
ΔE_f = 45 kJ/mol of atoms



Here is crystalline Ce2Sc2Ni15 at its relaxed geometry from the Alexandria database. Energies are from PBE-GGA.

Cell lengths 8.4072, 8.4072, 12.5687 Å; angles 90.00, 90.00, 120.00 degrees
Space group R-3m (No. 166, hexagonal axes)
Symmetry-distinct sites (fractional):
Ce 0.0000 0.0000 0.1105
Sc 0.0000 0.0000 0.3703
Ni 0.0000 0.3297 0.0000
Ni 0.0000 0.5000 0.5000
Ni 0.0137 0.5068 0.1620

Values from the calculation:
ΔE_f = -24 kJ/mol of atoms



Here is crystalline LiPrSiAg at its relaxed geometry from the Alexandria database. Energies are from PBE-GGA.

Cell lengths 7.0043, 7.0043, 7.0043 Å; angles 90.00, 90.00, 90.00 degrees
Space group F-43m (No. 216)
Symmetry-distinct sites (fractional):
Li 0.0000 0.0000 0.0000
Pr 0.0000 0.0000 0.5000
Si 0.2500 0.2500 0.2500
Ag 0.2500 0.2500 0.7500

Values from the calculation:
energy relative to the elements, uncorrected = -0.300 eV per atom



Here is crystalline ScVP2Cl at its relaxed geometry from the Alexandria database. Energies are from PBE-GGA.

Cell lengths 4.9576, 4.9576, 4.8081 Å; angles 90.00, 90.00, 90.00 degrees
Space group P4/mmm (No. 123)
Symmetry-distinct sites (fractional):
Sc 0.0000 0.0000 0.0000
V 0.5000 0.5000 0.5000
P 0.0000 0.5000 0.0000
Cl 0.0000 0.0000 0.5000

Values from the calculation:
energy relative to the elements, uncorrected = 0.224 eV per atom



Here is crystalline TbNpIrPd at its relaxed geometry from the Alexandria database. Energies are from PBE-GGA.

Cell lengths 6.9381, 6.9381, 6.9381 Å; angles 90.00, 90.00, 90.00 degrees
Space group F-43m (No. 216)
Symmetry-distinct sites (fractional):
Tb 0.0000 0.0000 0.0000
Np 0.0000 0.0000 0.5000
Ir 0.2500 0.2500 0.2500
Pd 0.2500 0.2500 0.7500

Values from the calculation:
ΔE_f = -45 kJ/mol of atoms



Here is crystalline NaReHgI2 at its relaxed geometry from the Alexandria database. Energies are from PBE-GGA.

Cell lengths 5.3306, 5.3306, 6.0838 Å; angles 90.00, 90.00, 90.00 degrees
Space group P4/mmm (No. 123)
Symmetry-distinct sites (fractional):
Na 0.0000 0.0000 0.0000
Re 0.0000 0.0000 0.5000
Hg 0.5000 0.5000 0.0000
I 0.0000 0.5000 0.5000

Values from the calculation:
energy relative to the elements, uncorrected = 0.547 eV per atom



Here is crystalline Na3SrBi4 at its relaxed geometry from the Alexandria database. Energies are from PBE-GGA.

Cell lengths 18.7479, 4.2895, 7.6570 Å; angles 90.00, 110.32, 90.00 degrees
Space group C2/m (No. 12)
Symmetry-distinct sites (fractional):
Na 0.0000 0.0000 0.0000
Na 0.1970 0.0000 0.6036
Sr 0.0000 0.5000 0.5000
Bi 0.1196 0.5000 0.2699
Bi 0.1788 0.5000 0.9450

Values from the calculation:
ΔE_f = -20 kJ/mol of atoms



Here is crystalline Sr2Pt at its relaxed geometry from the Alexandria database. Energies are from PBE-GGA.

Cell lengths 4.4146, 4.4146, 6.9814 Å; angles 90.00, 90.00, 120.00 degrees
Space group P-3m1 (No. 164)
Symmetry-distinct sites (fractional):
Sr 0.3333 0.6667 0.2313
Pt 0.0000 0.0000 0.0000

Values from the calculation:
ΔE_f = -61 kJ/mol of atoms



Here is crystalline Ba2Mg2Cl at its relaxed geometry from the Alexandria database. Energies are from PBE-GGA.

Cell lengths 4.2328, 4.2328, 20.3301 Å; angles 90.00, 90.00, 90.00 degrees
Space group I4/mmm (No. 139)
Symmetry-distinct sites (fractional):
Ba 0.0000 0.0000 0.0993
Mg 0.0000 0.5000 0.2500
Cl 0.0000 0.0000 0.5000

Values from the calculation:
energy relative to the elements, uncorrected = -0.519 eV per atom



Here is crystalline SrBe2B at its relaxed geometry from the Alexandria database. Energies are from PBE-GGA.

Cell lengths 4.5552, 4.5552, 12.2986 Å; angles 90.00, 90.00, 90.00 degrees
Space group I4_1/amd (No. 141, origin choice 2)
Symmetry-distinct sites (fractional):
Sr 0.0000 0.2500 0.3750
Be 0.0000 0.0000 0.0000
B 0.0000 0.2500 0.8750

Values from the calculation:
ΔE_f = 29 kJ/mol of atoms



Here is crystalline AlZn2Os at its relaxed geometry from the Alexandria database. Energies are from PBE-GGA.

Cell lengths 2.7320, 2.7320, 8.0729 Å; angles 90.00, 90.00, 90.00 degrees
Space group P4/mmm (No. 123)
Symmetry-distinct sites (fractional):
Al 0.0000 0.0000 0.0000
Zn 0.5000 0.5000 0.2614
Os 0.0000 0.0000 0.5000

Values from the calculation:
ΔE_f = 26 kJ/mol of atoms



Here is crystalline Ta2NiPb at its relaxed geometry from the Alexandria database. Energies are from PBE-GGA.

Cell lengths 3.0940, 3.5091, 7.1591 Å; angles 90.00, 101.11, 90.00 degrees
Space group Pm (No. 6)
Symmetry-distinct sites (fractional):
Ta 0.0000 0.0000 0.0000
Ta 0.3946 0.5000 0.7626
Ni 0.5731 0.5000 0.1626
Pb 0.7858 0.0000 0.4609

Values from the calculation:
ΔE_f = 22 kJ/mol of atoms



Here is crystalline CdSi at its relaxed geometry from the Alexandria database. Energies are from PBE-GGA.

Cell lengths 3.7732, 3.7732, 21.2994 Å; angles 90.00, 90.00, 120.00 degrees
Space group R-3m (No. 166, hexagonal axes)
Symmetry-distinct sites (fractional):
Cd 0.0000 0.0000 0.1161
Si 0.0000 0.0000 0.3117

Values from the calculation:
energy relative to the elements, uncorrected = 0.255 eV per atom



Here is crystalline NpPaZnRu at its relaxed geometry from the Alexandria database. Energies are from PBE-GGA.

Cell lengths 6.6643, 6.6643, 6.6643 Å; angles 90.00, 90.00, 90.00 degrees
Space group F-43m (No. 216)
Symmetry-distinct sites (fractional):
Np 0.0000 0.0000 0.0000
Pa 0.2500 0.2500 0.7500
Zn 0.2500 0.2500 0.2500
Ru 0.0000 0.0000 0.5000

Values from the calculation:
ΔE_f = -13 kJ/mol of atoms



Here is crystalline Sc2TiFe2 at its relaxed geometry from the Alexandria database. Energies are from PBE-GGA.

Cell lengths 3.2377, 3.2377, 17.5827 Å; angles 90.00, 90.00, 90.00 degrees
Space group I4/mmm (No. 139)
Symmetry-distinct sites (fractional):
Sc 0.0000 0.0000 0.1210
Ti 0.0000 0.0000 0.5000
Fe 0.0000 0.5000 0.2500

Values from the calculation:
ΔE_f = 28 kJ/mol of atoms